The following is a DFT calculation (PBE-GGA) of a relaxed Sr2LiIn crystal.

## Properties
formation enthalpy at 0 K = -152 meV per atom

Lattice parameters (Å, degrees): 5.593 5.593 8.026 90.00 90.00 90.00
Space group I-4m2 (No. 119)
Unique sites:
Sr1 0.000 0.000 0.000 [2 per cell]
Sr2 0.000 0.500 0.250 [2 per cell]
Li1 0.000 0.000 0.500 [2 per cell]
In1 0.000 0.500 0.750 [2 per cell]